# PBE Tl2PPt, optimized geometry
# Total DFT energy (no corrections): -14.81 eV per cell
# E above lowest polymorph: 440 meV/atom
# E_form: 0.343 eV/atom
# Magnetization: 0.00 μB per atom
data_Tl2PPt
_chemical_formula_sum 'Tl2 P1 Pt1'
_cell_length_a 4.238
_cell_length_b 3.830
_cell_length_c 5.810
_cell_angle_alpha 90.00
_cell_angle_beta 110.32
_cell_angle_gamma 90.00
_symmetry_space_group_name_H-M 'P 1 2/m 1'
_symmetry_Int_Tables_number 10
loop_
_symmetry_equiv_pos_as_xyz
'x,y,z'
'-x,-y,-z'
'-x,y,-z'
'x,-y,z'
loop_
_atom_site_label
_atom_site_fract_x
_atom_site_fract_y
_atom_site_fract_z
Tl1 0.247 0.000 0.249
P1 0.000 0.500 0.500
Pt1 0.500 0.500 0.000



# PBE YTl2P2Pt7, optimized geometry
# Total DFT energy (no corrections): -142.00 eV per cell
# E_form: -0.558 eV/atom
# Magnetization: 0.00 μB per atom
data_YTl2P2Pt7
_chemical_formula_sum 'Y2 Tl4 P4 Pt14'
_cell_length_a 5.650
_cell_length_b 5.649
_cell_length_c 15.275
_cell_angle_alpha 90.00
_cell_angle_beta 100.61
_cell_angle_gamma 90.00
_symmetry_space_group_name_H-M 'C 1 2/m 1'
_symmetry_Int_Tables_number 12
loop_
_symmetry_equiv_pos_as_xyz
'x,y,z'
'-x,-y,-z'
'-x,y,-z'
'x,-y,z'
'x+1/2,y+1/2,z'
'-x+1/2,-y+1/2,-z'
'-x+1/2,y+1/2,-z'
'x+1/2,-y+1/2,z'
loop_
_atom_site_label
_atom_site_fract_x
_atom_site_fract_y
_atom_site_fract_z
Y1 0.000 0.000 0.000
Tl1 0.210 0.000 0.421
P1 0.116 0.500 0.233
Pt1 0.000 0.500 0.000
Pt2 0.177 0.250 0.853
Pt3 0.190 0.500 0.382



# PBE Tm2P3Pt9, optimized geometry
# Total DFT energy (no corrections): -359.93 eV per cell
# E_form: -0.746 eV/atom
# Magnetization: 0.00 μB per atom
data_Tm2P3Pt9
_chemical_formula_sum 'Tm8 P12 Pt36'
_cell_length_a 13.498
_cell_length_b 7.943
_cell_length_c 9.636
_cell_angle_alpha 90.00
_cell_angle_beta 117.62
_cell_angle_gamma 90.00
_symmetry_space_group_name_H-M 'C 1 2/c 1'
_symmetry_Int_Tables_number 15
loop_
_symmetry_equiv_pos_as_xyz
'x,y,z'
'-x,-y,-z'
'-x,y,-z+1/2'
'x,-y,z+1/2'
'x+1/2,y+1/2,z'
'-x+1/2,-y+1/2,-z'
'-x+1/2,y+1/2,-z+1/2'
'x+1/2,-y+1/2,z+1/2'
loop_
_atom_site_label
_atom_site_fract_x
_atom_site_fract_y
_atom_site_fract_z
Tm1 0.171 0.082 0.252
P1 0.092 0.218 0.496
P2 0.250 0.250 0.000
Pt1 0.000 0.355 0.250
Pt2 0.060 0.067 0.920
Pt3 0.104 0.318 0.731
Pt4 0.121 0.394 0.068
Pt5 0.226 0.406 0.414



# PBE TmP2Pt7, optimized geometry
# Total DFT energy (no corrections): -128.85 eV per cell
# E_form: -0.685 eV/atom
# Magnetization: 0.00 μB per atom
data_TmP2Pt7
_chemical_formula_sum 'Tm2 P4 Pt14'
_cell_length_a 4.006
_cell_length_b 4.006
_cell_length_c 20.319
_cell_angle_alpha 90.00
_cell_angle_beta 90.00
_cell_angle_gamma 90.00
_symmetry_space_group_name_H-M 'I 4/m m m'
_symmetry_Int_Tables_number 139
_symmetry_space_group_name_Hall '-I 4 2'
loop_
_atom_site_label
_atom_site_fract_x
_atom_site_fract_y
_atom_site_fract_z
Tm1 0.000 0.000 0.000
P1 0.000 0.000 0.326
Pt1 0.000 0.000 0.500
Pt2 0.000 0.500 0.106
Pt3 0.000 0.500 0.250



# PBE U2PPt3, optimized geometry
# Total DFT energy (no corrections): -405.64 eV per cell
# E_form: -0.766 eV/atom
# Magnetization: 0.50 μB per atom
data_U2PPt3
_chemical_formula_sum 'U16 P8 Pt24'
_cell_length_a 6.517
_cell_length_b 8.854
_cell_length_c 15.579
_cell_angle_alpha 90.00
_cell_angle_beta 90.00
_cell_angle_gamma 90.00
_symmetry_space_group_name_H-M 'F m m m'
_symmetry_Int_Tables_number 69
_symmetry_space_group_name_Hall '-F 2 2'
loop_
_atom_site_label
_atom_site_fract_x
_atom_site_fract_y
_atom_site_fract_z
U1 0.208 0.000 0.000
U2 0.250 0.250 0.250
P1 0.000 0.000 0.335
Pt1 0.000 0.000 0.177
Pt2 0.000 0.231 0.413



# PBE U2PPt, optimized geometry
# Total DFT energy (no corrections): -102.75 eV per cell
# E_form: -0.056 eV/atom
# Magnetization: 0.50 μB per atom
data_U2PPt
_chemical_formula_sum 'U6 P3 Pt3'
_cell_length_a 3.2045
_cell_length_b 3.2045
_cell_length_c 27.6035
_cell_angle_alpha 90.00
_cell_angle_beta 90.00
_cell_angle_gamma 120.00
_symmetry_space_group_name_H-M 'R -3 m'
_symmetry_Int_Tables_number 166
_symmetry_space_group_name_Hall '-R 3 2"'
loop_
_atom_site_label
_atom_site_fract_x
_atom_site_fract_y
_atom_site_fract_z
U1 0.0000 0.0000 0.0971
P1 0.0000 0.0000 0.5000
Pt1 0.0000 0.0000 0.0000